w) A plane-wave DFT calculation with PBE was carried out for crystalline NaPaP2 at its relaxed geometry.

Lattice parameters (Å, degrees): 7.2682 7.2682 7.2682 32.82 32.82 32.82
Atoms (fractional coordinates):
Na: 0.0000 0.0000 0.0000
Pa: 0.1741 0.1741 0.1741
P: 0.5756 0.5756 0.5756
P: 0.7720 0.7720 0.7720

x) A plane-wave DFT calculation with PBE was carried out for crystalline NaPaP2 at its relaxed geometry.

Lattice parameters (Å, degrees): 3.6884 3.6884 7.0601 97.53 97.53 89.65
Atoms (fractional coordinates):
Na: 0.0000 0.0000 0.0000
Pa: 0.0000 0.0000 0.5000
P: 0.4626 0.4626 0.3314
P: 0.5374 0.5374 0.6686

Stability ranking, top and bottom: w) is the most stable and x) is the least stable.

w) A plane-wave DFT calculation with PBE was carried out for crystalline Na2P2Pb at its relaxed geometry.

Lattice parameters (Å, degrees): 6.6030 6.6030 6.6030 140.53 140.53 57.05
Atoms (fractional coordinates):
Na: 0.2500 0.7500 0.5000
Na: 0.7500 0.2500 0.5000
P: 0.0942 0.0942 0.0000
P: 0.9058 0.9058 0.0000
Pb: 0.5000 0.5000 0.0000

x) A plane-wave DFT calculation with PBE was carried out for crystalline Na2P2Pb at its relaxed geometry.

Lattice parameters (Å, degrees): 8.4606 8.4606 3.0241 90.00 90.00 90.00
Atoms (fractional coordinates):
Na: 0.1215 0.3785 0.0000
Na: 0.3785 0.8785 0.0000
Na: 0.6215 0.1215 0.0000
Na: 0.8785 0.6215 0.0000
P: 0.1772 0.6772 0.5000
P: 0.3228 0.1772 0.5000
P: 0.6772 0.8228 0.5000
P: 0.8228 0.3228 0.5000
Pb: 0.0000 0.0000 0.5000
Pb: 0.5000 0.5000 0.5000

Stability ranking, top and bottom: w) is the most stable and x) is the least stable.